No. 1
Here is Pm2Mg5Cd3 after structural relaxation from Alexandria. Energies are from PBE.

Geometry as CIF:
```
data_Pm2Mg5Cd3
_cell_length_a 12.502
_cell_length_b 12.976
_cell_length_c 6.281
_cell_angle_alpha 90.00
_cell_angle_beta 90.00
_cell_angle_gamma 90.00
_space_group_name_H-M_alt 'I b a m'
_space_group_IT_number 72
_space_group_name_Hall '-I 2 2c'
loop_
_atom_site_label
_atom_site_type_symbol
_atom_site_fract_x
_atom_site_fract_y
_atom_site_fract_z
_atom_site_occupancy
Pm1 Pm 0.130 0.243 0.000 1
Mg1 Mg 0.000 0.000 0.250 1
Mg2 Mg 0.114 0.354 0.500 1
Mg3 Mg 0.248 0.500 0.250 1
Cd1 Cd 0.000 0.500 0.250 1
Cd2 Cd 0.127 0.144 0.500 1
```

Values from the calculation:
Crystal system = orthorhombic
E_form = -12.2 kJ/mol of atoms

No. 2
Here is Sr2ZnSi2 after structural relaxation from Alexandria. Energies are from PBE.

Geometry as CIF:
```
data_Sr2ZnSi2
_cell_length_a 7.268
_cell_length_b 7.268
_cell_length_c 4.810
_cell_angle_alpha 90.00
_cell_angle_beta 90.00
_cell_angle_gamma 90.00
_space_group_name_H-M_alt 'P 4/m b m'
_space_group_IT_number 127
_space_group_name_Hall '-P 4 2ab'
loop_
_atom_site_label
_atom_site_type_symbol
_atom_site_fract_x
_atom_site_fract_y
_atom_site_fract_z
_atom_site_occupancy
Sr1 Sr 0.178 0.322 0.000 1
Zn1 Zn 0.000 0.000 0.500 1
Si1 Si 0.118 0.618 0.500 1
```

Values from the calculation:
Formation energy from raw total energies = -0.240 eV/atom
Crystal system = tetragonal

| no. | M_tot (μB per cell) | volume (Å³ per atom) |
| --- | --- | --- |
| 1 | 0.00 | 25.47 |
| 2 | 0.00 | 25.40 |